Version P
TlOs2Rh after structural relaxation. Source: the Alexandria database, functional PBE.

a b c (Å): 4.5225 4.5225 4.5225
angles (deg): 60.00 60.00 60.00
Fractional coordinates of all 4 atoms:
Os1 0.7500 0.7500 0.7500
Os2 0.0000 0.0000 0.0000
Rh1 0.5000 0.5000 0.5000
Tl1 0.2500 0.2500 0.2500

Output
The density comes out at 17.46 g cm⁻³. The density of states at the Fermi level is 1.44 states/eV per atom.



Version Q
TlOs2Rh after structural relaxation. Source: the Alexandria database, functional PBE.

a b c (Å): 2.8595 2.8595 7.9573
angles (deg): 90.00 90.00 90.00
Fractional coordinates of all 4 atoms:
Tl1 0.5000 0.5000 0.7473
Rh1 0.0000 0.0000 0.4781
Os1 0.0000 0.0000 0.0325
Os2 0.5000 0.5000 0.2422

Output
The density comes out at 17.55 g cm⁻³. The density of states at the Fermi level is 0.61 states/eV per atom.



Here are the energies relative to the best structure, in kJ/mol of atoms: version P 46.3; version Q 0.0.



Version P
TlOs2Rh after structural relaxation. Source: the Alexandria database, functional PBE.

a b c (Å): 9.4533 9.4533 9.4533
angles (deg): 17.31 17.31 17.31
Fractional coordinates of all 4 atoms:
Os1 0.7572 0.7572 0.7572
Tl1 0.0000 0.0000 0.0000
Rh1 0.5000 0.5000 0.5000
Os2 0.2428 0.2428 0.2428

Output
The density comes out at 17.50 g cm⁻³. The density of states at the Fermi level is 0.89 states/eV per atom.



Version Q
TlOs2Rh after structural relaxation. Source: the Alexandria database, functional PBE.

a b c (Å): 6.3544 6.3544 6.3544
angles (deg): 154.50 139.83 48.19
Fractional coordinates of all 4 atoms:
Os1 0.2086 0.7086 0.5000
Rh1 0.4647 0.4647 0.0000
Tl1 0.7963 0.2963 0.5000
Os2 0.0304 0.0304 0.0000

Output
The density comes out at 16.08 g cm⁻³. The density of states at the Fermi level is 0.79 states/eV per atom.



Version R
TlOs2Rh after structural relaxation. Source: the Alexandria database, functional PBE.

a b c (Å): 4.5028 4.5028 4.5028
angles (deg): 60.00 60.00 60.00
Fractional coordinates of all 4 atoms:
Os1 0.2500 0.2500 0.2500
Rh1 0.0000 0.0000 0.0000
Os2 0.7500 0.7500 0.7500
Tl1 0.5000 0.5000 0.5000

Output
The density comes out at 17.69 g cm⁻³. The density of states at the Fermi level is 0.43 states/eV per atom.



Here are the energies relative to the best structure, in kJ/mol of atoms: version P 0.0; version Q 0.7; version R 19.3.